The following is a DFT calculation (PBE) of a relaxed structure of Rb3CaCr.

Cell lengths 7.042, 7.042, 7.042 Å; angles 90.00, 90.00, 90.00 degrees
Element x y z (fractional)
1 Rb 0.000 0.000 0.500
2 Rb 0.000 0.500 0.000
3 Rb 0.500 0.000 0.000
4 Ca 0.500 0.500 0.500
5 Cr 0.000 0.000 0.000

Calculated values
**Space-group type**: No. 221
**Total moment**: 5.88 μB per formula unit
**Formation enthalpy at 0 K**: 0.76 eV per atom